Record 1
Below is a geometry-optimized Tc2NiOs structure, with properties calculated at the PBE-GGA level.

Energy of formation (eV/atom): 0.28
Relative energy among the computed polymorphs (meV/atom): 334.2

Unit cell a=6.050 b=6.050 c=6.050 alpha=90.00 beta=90.00 gamma=90.00
Space group F-43m (No. 216)
One atom of each set of equivalent atoms:
1 Tc 0.000 0.000 0.000 x4
2 Tc 0.250 0.250 0.250 x4
3 Ni 0.000 0.000 0.500 x4
4 Os 0.250 0.250 0.750 x4

---

Record 2
Below is a geometry-optimized K4RhO5 structure, with properties calculated at the PBE-GGA level.

Formation energy (no corrections) (eV per formula unit): -11.06

Unit cell a=8.189 b=8.189 c=5.483 alpha=90.00 beta=90.00 gamma=90.00
Space group I4 (No. 79)
One atom of each set of equivalent atoms:
1 K 0.106 0.705 0.000 x8
2 Rh 0.000 0.000 0.548 x2
3 O 0.000 0.000 0.888 x2
4 O 0.070 0.775 0.494 x8

---

Record 3
Below is a geometry-optimized NiRuBr2 structure, with properties calculated at the PBE-GGA level.

Relative energy among the computed polymorphs (meV/atom): 255.6
Formation energy (no corrections) (eV per formula unit): 1.71

Unit cell a=4.562 b=3.796 c=4.841 alpha=90.00 beta=113.55 gamma=90.00
Space group Pm (No. 6)
One atom of each set of equivalent atoms:
1 Ni 0.000 0.000 0.000 x1
2 Ru 0.200 0.500 0.809 x1
3 Br 0.457 0.000 0.637 x1
4 Br 0.813 0.500 0.257 x1

---

| no. | energy (eV/atom) |
| --- | --- |
| 1 | -9.1533 |
| 2 | -4.7595 |
| 3 | -4.1724 |